DFT (GGA-PBE) results for an optimized crystal structure of DyVFe.

Cell lengths 6.198, 5.546, 4.796 Å; angles 73.23, 58.96, 47.81 degrees
Fractional positions:
1 Dy 0.186 0.814 0.186
2 Dy 0.814 0.186 0.814
3 V 0.307 0.307 0.693
4 V 0.693 0.693 0.307
5 Fe 0.250 0.250 0.250
6 Fe 0.750 0.750 0.750

Computed properties:
ΔE_f, eV per formula unit: 0.7
Total magnetic moment, μB per formula unit: 0.00
D(E_F), states/eV per cell: 5.9